! PaTe2Mo (PBE-GGA, relaxed); values from VASP
&SYSTEM
  ibrav = 0, nat = 12, ntyp = 3
/
ATOMIC_SPECIES
Pa 231.04 Pa.upf
Te 127.60 Te.upf
Mo 95.94 Mo.upf
ATOMIC_POSITIONS crystal
Pa 0.000 0.000 0.000
Pa 0.333 0.667 0.667
Pa 0.667 0.333 0.333
Te 0.000 0.000 0.414
Te 0.000 0.000 0.586
Te 0.333 0.667 0.081
Te 0.333 0.667 0.253
Te 0.667 0.333 0.747
Te 0.667 0.333 0.919
Mo 0.000 0.000 0.500
Mo 0.333 0.667 0.167
Mo 0.667 0.333 0.833
CELL_PARAMETERS angstrom
3.340 0.000 0.000
-1.670 2.892 0.000
0.000 0.000 30.731
! Formation energy (no corrections), meV/atom: 400
! Total magnetic moment, μB/f.u.: 0.5
! Energy, eV/atom: -6.253